Crystalline LaIn12Ni4 at its relaxed geometry. Source: Alexandria via LeMat-Bulk, functional PBE-GGA.

```
LaIn12Ni4
1.0
-7.8862 -1.1228 -1.7698
4.3507 0.0899 -6.9028
2.6072 -6.0782 4.7795
In Ni La
12 4 1
direct
0.1801 0.6729 0.8529
0.8199 0.3271 0.1471
0.1471 0.8199 0.3271
0.6729 0.4928 0.8199
0.3271 0.5072 0.1801
0.1801 0.3271 0.5072
0.4928 0.8199 0.6729
0.5072 0.1801 0.3271
0.8529 0.1801 0.6729
0.8199 0.6729 0.4928
0.6729 0.8529 0.1801
0.3271 0.1471 0.8199
0.5000 0.0000 0.0000
0.0000 0.5000 0.0000
0.0000 0.0000 0.5000
0.5000 0.5000 0.5000
0.0000 0.0000 0.0000
```

Summary:
Calculated formation energy   -58 meV per atom
Magnetic moment   0.000 μB/f.u.